(1)
DFT (PBE) results for a geometry-optimized Eu2HoHf structure.

Unit cell a=7.895 b=7.895 c=7.895 alpha=90.00 beta=90.00 gamma=90.00
Space group Fm-3m (No. 225)
One atom of each set of equivalent atoms:
Eu1 0.250 0.250 0.250 (multiplicity 8)
Ho1 0.000 0.000 0.000 (multiplicity 4)
Hf1 0.000 0.000 0.500 (multiplicity 4)

Values from the calculation:
Energy in eV per cell: -133.3
Total magnetic moment in μB/cell: 60.330

***

(2)
DFT (PBE) results for a geometry-optimized ZrAl2Se structure.

Unit cell a=3.469 b=3.835 c=5.862 alpha=90.00 beta=96.63 gamma=90.00
Space group Pm (No. 6)
One atom of each set of equivalent atoms:
Zr1 0.000 0.000 0.000 (multiplicity 1)
Al1 0.493 0.500 0.282 (multiplicity 1)
Al2 0.990 0.000 0.482 (multiplicity 1)
Se1 0.459 0.500 0.802 (multiplicity 1)

Values from the calculation:
Energy in eV per cell: -21.1
Total magnetic moment in μB/cell: 0.000